# CeLuAl4 | Alexandria | SCAN | PBEsol geometry
data_CeLuAl4
_cell_length_a 7.791
_cell_length_b 7.791
_cell_length_c 7.791
_cell_angle_alpha 90.00
_cell_angle_beta 90.00
_cell_angle_gamma 90.00
_symmetry_space_group_name_H-M 'F -4 3 m'
_symmetry_Int_Tables_number 216
_symmetry_space_group_name_Hall 'F -4 2 3'
loop_
_atom_site_label
_atom_site_type_symbol
_atom_site_fract_x
_atom_site_fract_y
_atom_site_fract_z
_atom_site_occupancy
Ce1 Ce 0.000 0.000 0.000 1
Lu1 Lu 0.250 0.250 0.250 1
Al1 Al 0.125 0.125 0.625 1
# DFT formation energy: -0.460 eV per atom

---

# BaTe2Os | Alexandria | SCAN | PBEsol geometry
data_BaTe2Os
_cell_length_a 3.656
_cell_length_b 4.011
_cell_length_c 14.751
_cell_angle_alpha 90.00
_cell_angle_beta 90.00
_cell_angle_gamma 90.00
_symmetry_space_group_name_H-M 'I m m 2'
_symmetry_Int_Tables_number 44
_symmetry_space_group_name_Hall 'I 2 -2'
loop_
_atom_site_label
_atom_site_type_symbol
_atom_site_fract_x
_atom_site_fract_y
_atom_site_fract_z
_atom_site_occupancy
Ba1 Ba 0.000 0.000 0.000 1
Te1 Te 0.000 0.000 0.365 1
Te2 Te 0.000 0.500 0.180 1
Os1 Os 0.000 0.500 0.739 1
# energy relative to the elements, uncorrected: -10.7 kJ/mol of atoms
# offset from the most stable computed form: 0.0 kJ/mol of atoms

---

# NaOsCl2 | Alexandria | SCAN | PBEsol geometry
data_NaOsCl2
_cell_length_a 3.0666
_cell_length_b 3.0666
_cell_length_c 24.9507
_cell_angle_alpha 90.00
_cell_angle_beta 90.00
_cell_angle_gamma 120.00
_symmetry_space_group_name_H-M 'R -3 m'
_symmetry_Int_Tables_number 166
_symmetry_space_group_name_Hall '-R 3 2"'
loop_
_atom_site_label
_atom_site_type_symbol
_atom_site_fract_x
_atom_site_fract_y
_atom_site_fract_z
_atom_site_occupancy
Na1 Na 0.0000 0.0000 0.0000 1
Os1 Os 0.0000 0.0000 0.5000 1
Cl1 Cl 0.0000 0.0000 0.4094 1
# energy relative to the elements, uncorrected: -17.0 kJ/mol of atoms
# offset from the most stable computed form: 0.0 kJ/mol of atoms

---

# Y2CoRu3 | Alexandria | SCAN | PBEsol geometry
data_Y2CoRu3
_cell_length_a 5.1945
_cell_length_b 5.1945
_cell_length_c 12.6844
_cell_angle_alpha 90.00
_cell_angle_beta 90.00
_cell_angle_gamma 120.00
_symmetry_space_group_name_H-M 'R -3 m'
_symmetry_Int_Tables_number 166
_symmetry_space_group_name_Hall '-R 3 2"'
loop_
_atom_site_label
_atom_site_type_symbol
_atom_site_fract_x
_atom_site_fract_y
_atom_site_fract_z
_atom_site_occupancy
Y1 Y 0.0000 0.0000 0.1248 1
Co1 Co 0.0000 0.0000 0.5000 1
Ru1 Ru 0.0000 0.5000 0.0000 1
# DFT formation energy: -0.338 eV per atom

---

# NdSm3 | Alexandria | SCAN | PBEsol geometry
data_NdSm3
_cell_length_a 7.1621
_cell_length_b 7.1621
_cell_length_c 5.7730
_cell_angle_alpha 90.00
_cell_angle_beta 90.00
_cell_angle_gamma 120.00
_symmetry_space_group_name_H-M 'P 63/m m c'
_symmetry_Int_Tables_number 194
_symmetry_space_group_name_Hall '-P 6c 2c'
loop_
_atom_site_label
_atom_site_type_symbol
_atom_site_fract_x
_atom_site_fract_y
_atom_site_fract_z
_atom_site_occupancy
Nd1 Nd 0.3333 0.6667 0.2500 1
Sm1 Sm 0.1666 0.3331 0.7500 1
# offset from the most stable computed form: 1.5 kJ/mol of atoms
# DFT formation energy: 0.027 eV per atom

---

# MgSc5Al4 | Alexandria | SCAN | PBEsol geometry
data_MgSc5Al4
_cell_length_a 3.371
_cell_length_b 3.371
_cell_length_c 17.126
_cell_angle_alpha 90.00
_cell_angle_beta 90.00
_cell_angle_gamma 90.00
_symmetry_space_group_name_H-M 'P 4/m m m'
_symmetry_Int_Tables_number 123
_symmetry_space_group_name_Hall '-P 4 2'
loop_
_atom_site_label
_atom_site_type_symbol
_atom_site_fract_x
_atom_site_fract_y
_atom_site_fract_z
_atom_site_occupancy
Mg1 Mg 0.000 0.000 0.000 1
Sc1 Sc 0.500 0.500 0.111 1
Sc2 Sc 0.500 0.500 0.307 1
Sc3 Sc 0.500 0.500 0.500 1
Al1 Al 0.000 0.000 0.208 1
Al2 Al 0.000 0.000 0.403 1
# DFT formation energy: -0.389 eV per atom

---

# ReTeCl2 | Alexandria | SCAN | PBEsol geometry
data_ReTeCl2
_cell_length_a 3.021
_cell_length_b 4.638
_cell_length_c 5.192
_cell_angle_alpha 90.00
_cell_angle_beta 90.00
_cell_angle_gamma 90.00
_symmetry_space_group_name_H-M 'P m m m'
_symmetry_Int_Tables_number 47
_symmetry_space_group_name_Hall '-P 2 2'
loop_
_atom_site_label
_atom_site_type_symbol
_atom_site_fract_x
_atom_site_fract_y
_atom_site_fract_z
_atom_site_occupancy
Re1 Re 0.000 0.000 0.000 1
Te1 Te 0.500 0.000 0.500 1
Cl1 Cl 0.000 0.500 0.500 1
Cl2 Cl 0.500 0.500 0.000 1
# energy relative to the elements, uncorrected: 88.2 kJ/mol of atoms
# offset from the most stable computed form: 62.9 kJ/mol of atoms

---

# MnCdAsBr2 | Alexandria | SCAN | PBEsol geometry
data_MnCdAsBr2
_cell_length_a 4.945
_cell_length_b 4.945
_cell_length_c 4.907
_cell_angle_alpha 90.00
_cell_angle_beta 90.00
_cell_angle_gamma 90.00
_symmetry_space_group_name_H-M 'P 4/m m m'
_symmetry_Int_Tables_number 123
_symmetry_space_group_name_Hall '-P 4 2'
loop_
_atom_site_label
_atom_site_type_symbol
_atom_site_fract_x
_atom_site_fract_y
_atom_site_fract_z
_atom_site_occupancy
Mn1 Mn 0.000 0.000 0.000 1
Cd1 Cd 0.500 0.500 0.500 1
As1 As 0.000 0.000 0.500 1
Br1 Br 0.000 0.500 0.000 1
# energy relative to the elements, uncorrected: -12.9 kJ/mol of atoms

---

# As5Pb3S10 | Alexandria | SCAN | PBEsol geometry
data_As5Pb3S10
_cell_length_a 8.526
_cell_length_b 8.017
_cell_length_c 23.894
_cell_angle_alpha 90.00
_cell_angle_beta 92.87
_cell_angle_gamma 90.00
_symmetry_space_group_name_H-M 'P 1 21 1'
_symmetry_Int_Tables_number 4
_symmetry_space_group_name_Hall 'P 2yb'
loop_
_atom_site_label
_atom_site_type_symbol
_atom_site_fract_x
_atom_site_fract_y
_atom_site_fract_z
_atom_site_occupancy
As1 As 0.016 0.008 0.101 1
As2 As 0.104 0.705 0.213 1
As3 As 0.159 0.500 0.285 1
As4 As 0.187 0.814 0.824 1
As5 As 0.231 0.196 0.399 1
As6 As 0.272 0.690 0.604 1
As7 As 0.279 0.024 0.686 1
As8 As 0.439 0.889 0.325 1
As9 As 0.467 0.175 0.815 1
As10 As 0.468 0.503 0.899 1
Pb1 Pb 0.013 0.073 0.545 1
Pb2 Pb 0.018 0.400 0.686 1
Pb3 Pb 0.239 0.122 0.957 1
Pb4 Pb 0.263 0.607 0.046 1
Pb5 Pb 0.271 0.292 0.186 1
Pb6 Pb 0.496 0.071 0.545 1
S1 S 0.011 0.648 0.785 1
S2 S 0.015 0.378 0.984 1
S3 S 0.023 0.031 0.421 1
S4 S 0.048 0.533 0.140 1
S5 S 0.084 0.851 0.650 1
S6 S 0.188 0.697 0.916 1
S7 S 0.210 0.665 0.360 1
S8 S 0.232 0.164 0.079 1
S9 S 0.255 0.822 0.519 1
S10 S 0.256 0.327 0.485 1
S11 S 0.261 0.053 0.285 1
S12 S 0.261 0.227 0.620 1
S13 S 0.274 0.329 0.854 1
S14 S 0.342 0.850 0.148 1
S15 S 0.344 0.502 0.724 1
S16 S 0.407 0.691 0.779 1
S17 S 0.441 0.013 0.417 1
S18 S 0.470 0.866 0.647 1
S19 S 0.484 0.369 0.984 1
S20 S 0.491 0.970 0.880 1
# energy relative to the elements, uncorrected: -22.9 kJ/mol of atoms
# offset from the most stable computed form: 3.7 kJ/mol of atoms

---

# Tl2AgMo | Alexandria | SCAN | PBEsol geometry
data_Tl2AgMo
_cell_length_a 3.0798
_cell_length_b 3.0798
_cell_length_c 28.5668
_cell_angle_alpha 90.00
_cell_angle_beta 90.00
_cell_angle_gamma 120.00
_symmetry_space_group_name_H-M 'R -3 m'
_symmetry_Int_Tables_number 166
_symmetry_space_group_name_Hall '-R 3 2"'
loop_
_atom_site_label
_atom_site_type_symbol
_atom_site_fract_x
_atom_site_fract_y
_atom_site_fract_z
_atom_site_occupancy
Tl1 Tl 0.0000 0.0000 0.2490 1
Ag1 Ag 0.0000 0.0000 0.0000 1
Mo1 Mo 0.0000 0.0000 0.5000 1
# offset from the most stable computed form: 0.0 kJ/mol of atoms
# DFT formation energy: 0.587 eV per atom

---

# Cr2InAs | Alexandria | SCAN | PBEsol geometry
data_Cr2InAs
_cell_length_a 6.434
_cell_length_b 6.434
_cell_length_c 6.434
_cell_angle_alpha 90.00
_cell_angle_beta 90.00
_cell_angle_gamma 90.00
_symmetry_space_group_name_H-M 'F -4 3 m'
_symmetry_Int_Tables_number 216
_symmetry_space_group_name_Hall 'F -4 2 3'
loop_
_atom_site_label
_atom_site_type_symbol
_atom_site_fract_x
_atom_site_fract_y
_atom_site_fract_z
_atom_site_occupancy
Cr1 Cr 0.000 0.000 0.000 1
Cr2 Cr 0.250 0.250 0.250 1
In1 In 0.250 0.250 0.750 1
As1 As 0.000 0.000 0.500 1
# offset from the most stable computed form: 7.0 kJ/mol of atoms
# DFT formation energy: 0.186 eV per atom

---

# InTeP2S | Alexandria | SCAN | PBEsol geometry
data_InTeP2S
_cell_length_a 4.981
_cell_length_b 4.981
_cell_length_c 4.793
_cell_angle_alpha 90.00
_cell_angle_beta 90.00
_cell_angle_gamma 90.00
_symmetry_space_group_name_H-M 'P 4/m m m'
_symmetry_Int_Tables_number 123
_symmetry_space_group_name_Hall '-P 4 2'
loop_
_atom_site_label
_atom_site_type_symbol
_atom_site_fract_x
_atom_site_fract_y
_atom_site_fract_z
_atom_site_occupancy
In1 In 0.000 0.000 0.000 1
Te1 Te 0.500 0.500 0.500 1
P1 P 0.000 0.500 0.000 1
S1 S 0.000 0.000 0.500 1
# energy relative to the elements, uncorrected: 95.7 kJ/mol of atoms

---

# BeHg3 | Alexandria | SCAN | PBEsol geometry
data_BeHg3
_cell_length_a 3.044
_cell_length_b 5.878
_cell_length_c 8.874
_cell_angle_alpha 90.00
_cell_angle_beta 90.00
_cell_angle_gamma 90.00
_symmetry_space_group_name_H-M 'C m m m'
_symmetry_Int_Tables_number 65
_symmetry_space_group_name_Hall '-C 2 2'
loop_
_atom_site_label
_atom_site_type_symbol
_atom_site_fract_x
_atom_site_fract_y
_atom_site_fract_z
_atom_site_occupancy
Be1 Be 0.000 0.000 0.000 1
Hg1 Hg 0.000 0.000 0.500 1
Hg2 Hg 0.000 0.500 0.213 1
# DFT formation energy: 0.271 eV per atom

---

# BaAl2CoW | Alexandria | SCAN | PBEsol geometry
data_BaAl2CoW
_cell_length_a 4.922
_cell_length_b 4.922
_cell_length_c 5.502
_cell_angle_alpha 90.00
_cell_angle_beta 90.00
_cell_angle_gamma 90.00
_symmetry_space_group_name_H-M 'P 4/m m m'
_symmetry_Int_Tables_number 123
_symmetry_space_group_name_Hall '-P 4 2'
loop_
_atom_site_label
_atom_site_type_symbol
_atom_site_fract_x
_atom_site_fract_y
_atom_site_fract_z
_atom_site_occupancy
Ba1 Ba 0.000 0.000 0.000 1
Al1 Al 0.000 0.500 0.500 1
Co1 Co 0.500 0.500 0.000 1
W1 W 0.000 0.000 0.500 1
# DFT formation energy: 1.319 eV per atom

---

# Mn4Re | Alexandria | SCAN | PBEsol geometry
data_Mn4Re
_cell_length_a 3.536
_cell_length_b 3.536
_cell_length_c 9.453
_cell_angle_alpha 90.00
_cell_angle_beta 90.00
_cell_angle_gamma 90.00
_symmetry_space_group_name_H-M 'I 4/m m m'
_symmetry_Int_Tables_number 139
_symmetry_space_group_name_Hall '-I 4 2'
loop_
_atom_site_label
_atom_site_type_symbol
_atom_site_fract_x
_atom_site_fract_y
_atom_site_fract_z
_atom_site_occupancy
Mn1 Mn 0.000 0.000 0.107 1
Mn2 Mn 0.000 0.500 0.250 1
Re1 Re 0.000 0.000 0.500 1
# offset from the most stable computed form: 33.9 kJ/mol of atoms
# DFT formation energy: 0.546 eV per atom

---

# SrTcRh2 | Alexandria | SCAN | PBEsol geometry
data_SrTcRh2
_cell_length_a 2.8256
_cell_length_b 2.8256
_cell_length_c 28.3951
_cell_angle_alpha 90.00
_cell_angle_beta 90.00
_cell_angle_gamma 120.00
_symmetry_space_group_name_H-M 'R -3 m'
_symmetry_Int_Tables_number 166
_symmetry_space_group_name_Hall '-R 3 2"'
loop_
_atom_site_label
_atom_site_type_symbol
_atom_site_fract_x
_atom_site_fract_y
_atom_site_fract_z
_atom_site_occupancy
Sr1 Sr 0.0000 0.0000 0.0000 1
Tc1 Tc 0.0000 0.0000 0.5000 1
Rh1 Rh 0.0000 0.0000 0.2396 1
# DFT formation energy: 0.572 eV per atom

---

# BeP2W | Alexandria | SCAN | PBEsol geometry
data_BeP2W
_cell_length_a 3.111
_cell_length_b 4.097
_cell_length_c 7.596
_cell_angle_alpha 90.00
_cell_angle_beta 90.00
_cell_angle_gamma 90.00
_symmetry_space_group_name_H-M 'I m m 2'
_symmetry_Int_Tables_number 44
_symmetry_space_group_name_Hall 'I 2 -2'
loop_
_atom_site_label
_atom_site_type_symbol
_atom_site_fract_x
_atom_site_fract_y
_atom_site_fract_z
_atom_site_occupancy
Be1 Be 0.000 0.000 0.000 1
P1 P 0.000 0.000 0.457 1
P2 P 0.000 0.500 0.700 1
W1 W 0.000 0.500 0.231 1
# DFT formation energy: 0.247 eV per atom

---

# PaN | Alexandria | SCAN | PBEsol geometry
data_PaN
_cell_length_a 4.906
_cell_length_b 4.906
_cell_length_c 4.906
_cell_angle_alpha 90.00
_cell_angle_beta 90.00
_cell_angle_gamma 90.00
_symmetry_space_group_name_H-M 'F m -3 m'
_symmetry_Int_Tables_number 225
_symmetry_space_group_name_Hall '-F 4 2 3'
loop_
_atom_site_label
_atom_site_type_symbol
_atom_site_fract_x
_atom_site_fract_y
_atom_site_fract_z
_atom_site_occupancy
Pa1 Pa 0.000 0.000 0.000 1
N1 N 0.000 0.000 0.500 1
# energy relative to the elements, uncorrected: -164.2 kJ/mol of atoms

---

# CuIr2Pt | Alexandria | SCAN | PBEsol geometry
data_CuIr2Pt
_cell_length_a 3.813
_cell_length_b 3.813
_cell_length_c 7.525
_cell_angle_alpha 90.00
_cell_angle_beta 90.00
_cell_angle_gamma 90.00
_symmetry_space_group_name_H-M 'I -4 m 2'
_symmetry_Int_Tables_number 119
_symmetry_space_group_name_Hall 'I -4 -2'
loop_
_atom_site_label
_atom_site_type_symbol
_atom_site_fract_x
_atom_site_fract_y
_atom_site_fract_z
_atom_site_occupancy
Cu1 Cu 0.000 0.000 0.000 1
Ir1 Ir 0.000 0.000 0.500 1
Ir2 Ir 0.000 0.500 0.250 1
Pt1 Pt 0.000 0.500 0.750 1
# offset from the most stable computed form: 0.9 kJ/mol of atoms
# DFT formation energy: 0.013 eV per atom

---

# CrFe3 | Alexandria | SCAN | PBEsol geometry
data_CrFe3
_cell_length_a 2.843
_cell_length_b 3.890
_cell_length_c 7.846
_cell_angle_alpha 90.00
_cell_angle_beta 90.00
_cell_angle_gamma 90.00
_symmetry_space_group_name_H-M 'I m m m'
_symmetry_Int_Tables_number 71
_symmetry_space_group_name_Hall '-I 2 2'
loop_
_atom_site_label
_atom_site_type_symbol
_atom_site_fract_x
_atom_site_fract_y
_atom_site_fract_z
_atom_site_occupancy
Cr1 Cr 0.000 0.000 0.000 1
Fe1 Fe 0.000 0.000 0.500 1
Fe2 Fe 0.000 0.500 0.251 1
# DFT formation energy: 0.006 eV per atom

---

Record-wise magnetic moment values, in μB per formula unit: 1.40, 0.00, 1.16, 0.94, 0.00, 0.00, 1.10, 3.27, 0.00, 0.00, 0.05, 0.00, 0.00, 2.94, 0.00, 0.00, 0.00, 0.00, 0.00, 5.44